Entry 1:
# LaPr5Zn6 | Alexandria via LeMat-Bulk | GGA-PBE | optimized geometry
data_LaPr5Zn6
_chemical_formula_sum 'La2 Pr10 Zn12'
_space_group_name_H-M_alt 'C m m m'
_space_group_IT_number 65
_space_group_name_Hall '-C 2 2'
_cell_length_a 5.254
_cell_length_b 15.792
_cell_length_c 7.462
_cell_angle_alpha 90.00
_cell_angle_beta 90.00
_cell_angle_gamma 90.00
loop_
_atom_site_label
_atom_site_fract_x
_atom_site_fract_y
_atom_site_fract_z
La1 0.000 0.000 0.000
Pr1 0.000 0.000 0.500
Pr2 0.000 0.334 0.000
Pr3 0.000 0.334 0.500
Zn1 0.000 0.168 0.252
Zn2 0.000 0.500 0.252
# Energy of formation = -7.0 kcal/mol of atoms
# Magnetic moment = 0.000 μB/f.u.
# E_tot = -80.171 eV per cell

=====

Entry 2:
# Mo2AsBr | Alexandria via LeMat-Bulk | GGA-PBE | optimized geometry
data_Mo2AsBr
_chemical_formula_sum 'Mo2 As1 Br1'
_space_group_name_H-M_alt 'P m m 2'
_space_group_IT_number 25
_cell_length_a 3.327
_cell_length_b 4.251
_cell_length_c 6.290
_cell_angle_alpha 90.00
_cell_angle_beta 90.00
_cell_angle_gamma 90.00
loop_
_space_group_symop_operation_xyz
'x,y,z'
'-x,-y,z'
'-x,y,z'
'x,-y,z'
loop_
_atom_site_label
_atom_site_fract_x
_atom_site_fract_y
_atom_site_fract_z
Mo1 0.000 0.000 0.000
Mo2 0.500 0.500 0.047
As1 0.000 0.500 0.743
Br1 0.500 0.000 0.315
# Energy relative to the lowest polymorph listed for this composition = 0.041 eV per atom
# Formation energy from raw total energies = 0.17 eV per atom
# Magnetic moment = 0.002 μB/f.u.
# E_tot = -27.289 eV per cell

=====

Entry 3:
# MgIn4Br6 | Alexandria via LeMat-Bulk | GGA-PBE | optimized geometry
data_MgIn4Br6
_chemical_formula_sum 'Mg4 In16 Br24'
_space_group_name_H-M_alt 'C 1 c 1'
_space_group_IT_number 9
_cell_length_a 17.103
_cell_length_b 8.511
_cell_length_c 14.375
_cell_angle_alpha 90.00
_cell_angle_beta 118.92
_cell_angle_gamma 90.00
loop_
_space_group_symop_operation_xyz
'x,y,z'
'x,-y,z+1/2'
'x+1/2,y+1/2,z'
'x+1/2,-y+1/2,z+1/2'
loop_
_atom_site_label
_atom_site_fract_x
_atom_site_fract_y
_atom_site_fract_z
Mg1 0.000 0.248 0.000
In1 0.069 0.360 0.765
In2 0.227 0.105 0.270
In3 0.283 0.416 0.579
In4 0.452 0.299 0.899
Br1 0.007 0.010 0.108
Br2 0.126 0.305 0.368
Br3 0.159 0.283 0.037
Br4 0.239 0.277 0.745
Br5 0.408 0.331 0.308
Br6 0.426 0.019 0.530
# Formation energy from raw total energies = -0.84 eV per atom
# Magnetic moment = 0.000 μB/f.u.
# E_tot = -127.335 eV per cell

=====

Entry 4:
# Zr2BiAs2 | Alexandria via LeMat-Bulk | GGA-PBE | optimized geometry
data_Zr2BiAs2
_chemical_formula_sum 'Zr4 Bi2 As4'
_space_group_name_H-M_alt 'P 4/m b m'
_space_group_IT_number 127
_space_group_name_Hall '-P 4 2ab'
_cell_length_a 7.835
_cell_length_b 7.835
_cell_length_c 3.528
_cell_angle_alpha 90.00
_cell_angle_beta 90.00
_cell_angle_gamma 90.00
loop_
_atom_site_label
_atom_site_fract_x
_atom_site_fract_y
_atom_site_fract_z
Zr1 0.153 0.347 0.000
Bi1 0.000 0.000 0.500
As1 0.136 0.636 0.500
# Energy relative to the lowest polymorph listed for this composition = 0.139 eV per atom
# Energy of formation = -12.6 kcal/mol of atoms
# Magnetic moment = 0.000 μB/f.u.
# E_tot = -66.009 eV per cell

=====

Entry 5:
# Mo2AsRh | Alexandria via LeMat-Bulk | GGA-PBE | optimized geometry
data_Mo2AsRh
_chemical_formula_sum 'Mo2 As1 Rh1'
_space_group_name_H-M_alt 'P 1 2/m 1'
_space_group_IT_number 10
_cell_length_a 2.814
_cell_length_b 4.108
_cell_length_c 5.409
_cell_angle_alpha 90.00
_cell_angle_beta 102.44
_cell_angle_gamma 90.00
loop_
_space_group_symop_operation_xyz
'x,y,z'
'-x,-y,-z'
'-x,y,-z'
'x,-y,z'
loop_
_atom_site_label
_atom_site_fract_x
_atom_site_fract_y
_atom_site_fract_z
Mo1 0.066 0.000 0.254
As1 0.500 0.500 0.500
Rh1 0.500 0.500 0.000
# Energy of formation = -0.3 kcal/mol of atoms
# Magnetic moment = 0.000 μB/f.u.
# E_tot = -33.720 eV per cell

=====

Entry 6:
# DyPuCo | Alexandria via LeMat-Bulk | GGA-PBE | optimized geometry
data_DyPuCo
_chemical_formula_sum 'Dy4 Pu4 Co4'
_space_group_name_H-M_alt 'P 1 21/c 1'
_space_group_IT_number 14
_cell_length_a 6.866
_cell_length_b 5.762
_cell_length_c 7.013
_cell_angle_alpha 90.00
_cell_angle_beta 107.07
_cell_angle_gamma 90.00
loop_
_space_group_symop_operation_xyz
'x,y,z'
'-x,-y,-z'
'-x,y+1/2,-z+1/2'
'x,-y+1/2,z+1/2'
loop_
_atom_site_label
_atom_site_fract_x
_atom_site_fract_y
_atom_site_fract_z
Dy1 0.139 0.140 0.361
Pu1 0.412 0.667 0.307
Co1 0.160 0.619 0.510
# Energy relative to the lowest polymorph listed for this composition = 0.000 eV per atom
# Energy of formation = -2.3 kcal/mol of atoms
# Magnetic moment = 5.345 μB/f.u.
# E_tot = -105.345 eV per cell

=====

Entry 7:
# La7Pm3Ho2 | Alexandria via LeMat-Bulk | GGA-PBE | optimized geometry
data_La7Pm3Ho2
_chemical_formula_sum 'La7 Pm3 Ho2'
_space_group_name_H-M_alt 'P 1 2/m 1'
_space_group_IT_number 10
_cell_length_a 6.578
_cell_length_b 3.596
_cell_length_c 17.975
_cell_angle_alpha 90.00
_cell_angle_beta 95.82
_cell_angle_gamma 90.00
loop_
_space_group_symop_operation_xyz
'x,y,z'
'-x,-y,-z'
'-x,y,-z'
'x,-y,z'
loop_
_atom_site_label
_atom_site_fract_x
_atom_site_fract_y
_atom_site_fract_z
La1 0.000 0.000 0.000
La2 0.221 0.500 0.172
La3 0.261 0.500 0.491
La4 0.273 0.000 0.831
Pm1 0.455 0.000 0.337
Pm2 0.500 0.500 0.000
Ho1 0.058 0.500 0.669
# Energy relative to the lowest polymorph listed for this composition = 0.000 eV per atom
# Energy of formation = 1.5 kcal/mol of atoms
# Magnetic moment = 0.000 μB/f.u.
# E_tot = -57.100 eV per cell

=====

Entry 8:
# Tb2PrRe | Alexandria via LeMat-Bulk | GGA-PBE | optimized geometry
data_Tb2PrRe
_chemical_formula_sum 'Tb6 Pr3 Re3'
_space_group_name_H-M_alt 'R -3 m'
_space_group_IT_number 166
_space_group_name_Hall '-R 3 2"'
_cell_length_a 3.2756
_cell_length_b 3.2756
_cell_length_c 34.5444
_cell_angle_alpha 90.00
_cell_angle_beta 90.00
_cell_angle_gamma 120.00
loop_
_atom_site_label
_atom_site_fract_x
_atom_site_fract_y
_atom_site_fract_z
Tb1 0.0000 0.0000 0.0771
Pr1 0.0000 0.0000 0.5000
Re1 0.0000 0.0000 0.0000
# Energy of formation = 19.2 kcal/mol of atoms
# Magnetic moment = 0.345 μB/f.u.
# E_tot = -69.484 eV per cell

=====

Entry 9:
# SmHoSiPd | Alexandria via LeMat-Bulk | GGA-PBE | optimized geometry
data_SmHoSiPd
_chemical_formula_sum 'Sm4 Ho4 Si4 Pd4'
_space_group_name_H-M_alt 'F -4 3 m'
_space_group_IT_number 216
_space_group_name_Hall 'F -4 2 3'
_cell_length_a 7.105
_cell_length_b 7.105
_cell_length_c 7.105
_cell_angle_alpha 90.00
_cell_angle_beta 90.00
_cell_angle_gamma 90.00
loop_
_atom_site_label
_atom_site_fract_x
_atom_site_fract_y
_atom_site_fract_z
Sm1 0.000 0.000 0.000
Ho1 0.000 0.000 0.500
Si1 0.250 0.250 0.250
Pd1 0.250 0.250 0.750
# Energy relative to the lowest polymorph listed for this composition = 0.118 eV per atom
# Formation energy from raw total energies = -0.69 eV per atom
# Magnetic moment = 0.000 μB/f.u.
# E_tot = -90.717 eV per cell

=====

Entry 10:
# NdAlGa2 | Alexandria via LeMat-Bulk | GGA-PBE | optimized geometry
data_NdAlGa2
_chemical_formula_sum 'Nd2 Al2 Ga4'
_space_group_name_H-M_alt 'C m m m'
_space_group_IT_number 65
_space_group_name_Hall '-C 2 2'
_cell_length_a 5.609
_cell_length_b 9.386
_cell_length_c 3.321
_cell_angle_alpha 90.00
_cell_angle_beta 90.00
_cell_angle_gamma 90.00
loop_
_atom_site_label
_atom_site_fract_x
_atom_site_fract_y
_atom_site_fract_z
Nd1 0.000 0.000 0.000
Al1 0.000 0.500 0.500
Ga1 0.250 0.250 0.500
# Energy of formation = -7.5 kcal/mol of atoms
# Magnetic moment = 0.001 μB/f.u.
# E_tot = -31.717 eV per cell

=====

Entry 11:
# AcTb2PrY | Alexandria via LeMat-Bulk | GGA-PBE | optimized geometry
data_AcTb2PrY
_chemical_formula_sum 'Ac2 Tb4 Pr2 Y2'
_space_group_name_H-M_alt 'P 1 21/m 1'
_space_group_IT_number 11
_cell_length_a 6.473
_cell_length_b 5.893
_cell_length_c 9.859
_cell_angle_alpha 90.00
_cell_angle_beta 108.65
_cell_angle_gamma 90.00
loop_
_space_group_symop_operation_xyz
'x,y,z'
'-x,-y,-z'
'-x,y+1/2,-z'
'x,-y+1/2,z'
loop_
_atom_site_label
_atom_site_fract_x
_atom_site_fract_y
_atom_site_fract_z
Ac1 0.067 0.250 0.300
Tb1 0.278 0.250 0.712
Tb2 0.466 0.250 0.095
Pr1 0.336 0.750 0.502
Y1 0.136 0.750 0.096
# Energy of formation = 1.0 kcal/mol of atoms
# Magnetic moment = 0.000 μB/f.u.
# E_tot = -48.804 eV per cell

=====

Entry 12:
# PrScNiRu | Alexandria via LeMat-Bulk | GGA-PBE | optimized geometry
data_PrScNiRu
_chemical_formula_sum 'Pr4 Sc4 Ni4 Ru4'
_space_group_name_H-M_alt 'F -4 3 m'
_space_group_IT_number 216
_space_group_name_Hall 'F -4 2 3'
_cell_length_a 6.746
_cell_length_b 6.746
_cell_length_c 6.746
_cell_angle_alpha 90.00
_cell_angle_beta 90.00
_cell_angle_gamma 90.00
loop_
_atom_site_label
_atom_site_fract_x
_atom_site_fract_y
_atom_site_fract_z
Pr1 0.000 0.000 0.000
Sc1 0.000 0.000 0.500
Ni1 0.250 0.250 0.750
Ru1 0.250 0.250 0.250
# Energy of formation = -6.1 kcal/mol of atoms
# Magnetic moment = 0.001 μB/f.u.
# E_tot = -108.897 eV per cell